Below is crystalline Y2CdGe2Rh5 at its relaxed geometry, with properties calculated at the PBE level.

Unit cell a=3.6146 b=9.8374 c=9.8374 alpha=90.00 beta=90.00 gamma=90.00
Last column: nearest neighbours and their distance in Å.
Atoms (fractional coordinates):
Y (0.0000, 0.6742, 0.1742)  3 Ge 2.80-2.98, 6 Rh 3.02-3.13
Y (0.0000, 0.3258, 0.8258)  3 Ge 2.80-2.98, 6 Rh 3.02-3.13
Y (0.0000, 0.1742, 0.3258)  3 Ge 2.80-2.98, 6 Rh 3.02-3.13
Y (0.0000, 0.8258, 0.6742)  3 Ge 2.80-2.98, 6 Rh 3.02-3.13
Cd (0.0000, 0.0000, 0.0000)  8 Rh 2.84
Cd (0.0000, 0.5000, 0.5000)  8 Rh 2.84
Ge (0.0000, 0.1245, 0.6245)  6 Rh 2.48-2.50
Ge (0.0000, 0.8755, 0.3755)  6 Rh 2.48-2.50
Ge (0.0000, 0.6245, 0.8755)  6 Rh 2.48-2.50
Ge (0.0000, 0.3755, 0.1245)  6 Rh 2.48-2.50
Rh (0.5000, 0.2122, 0.0684)  2 Ge 2.48
Rh (0.5000, 0.7878, 0.9316)  2 Ge 2.48
Rh (0.5000, 0.0684, 0.7878)  2 Ge 2.48
Rh (0.5000, 0.7122, 0.4316)  2 Ge 2.48
Rh (0.5000, 0.9316, 0.2122)  2 Ge 2.48
Rh (0.5000, 0.2878, 0.5684)  2 Ge 2.48
Rh (0.5000, 0.5684, 0.7122)  2 Ge 2.48
Rh (0.5000, 0.4316, 0.2878)  2 Ge 2.48
Rh (0.5000, 0.5000, 0.0000)  4 Ge 2.50
Rh (0.5000, 0.0000, 0.5000)  4 Ge 2.50

Output
- formation enthalpy at 0 K (eV/f.u.) = -7.47